No. 1
{"formula": "Mg2TlIr", "functional": "PBE-GGA", "state": "optimized geometry", "lattice": [[4.132, 0.000, 0.000], [0.000, 4.132, 0.000], [2.066, 2.066, 9.627]], "species": ["Mg", "Mg", "Tl", "Mg", "Tl", "Ir", "Mg", "Ir"], "fractional_positions": [[0.149, 0.625, 0.250], [0.601, 0.125, 0.250], [0.000, 0.000, 0.000], [0.375, 0.399, 0.750], [0.750, 0.250, 0.500], [0.500, 0.500, 0.000], [0.875, 0.851, 0.750], [0.250, 0.750, 0.500]], "magmom_total_mub_per_fu": 0.00, "delta_e_f_ev_per_atom": 0.285, "energy_ev_per_atom": -3.319}


No. 2
{"formula": "Mg2TlIr", "functional": "PBE-GGA", "state": "optimized geometry", "lattice": [[-1.691, -1.628, -2.214], [3.294, -0.726, -1.983], [0.773, -5.078, 3.144]], "species": ["Mg", "Mg", "Ir", "Tl"], "fractional_positions": [[0.000, 0.000, 0.968], [0.500, 0.500, 0.241], [0.500, 0.500, 0.784], [0.000, 0.000, 0.507]], "magmom_total_mub_per_fu": 0.00, "delta_e_f_ev_per_atom": -0.014, "energy_ev_per_atom": -3.618}


No. 3
{"formula": "MgTl2Ir", "functional": "PBE-GGA", "state": "optimized geometry", "lattice": [[3.223, 0.018, 0.000], [-0.017, 3.223, 0.000], [0.000, 0.000, 8.263]], "species": ["Tl", "Ir", "Mg", "Tl"], "fractional_positions": [[0.000, 0.000, 0.473], [0.500, 0.500, 0.250], [0.500, 0.500, 0.750], [0.000, 0.000, 0.027]], "magmom_total_mub_per_fu": 0.00, "delta_e_f_ev_per_atom": 0.325, "energy_ev_per_atom": -3.472}


No. 4
{"formula": "Mg2TlIr", "functional": "PBE-GGA", "state": "optimized geometry", "lattice": [[-4.804, 2.400, -7.544], [-2.309, 0.979, -8.915], [-4.772, -0.762, -7.900]], "species": ["Ir", "Mg", "Tl", "Mg"], "fractional_positions": [[0.750, 0.750, 0.750], [0.488, 0.488, 0.488], [0.250, 0.250, 0.250], [0.012, 0.012, 0.012]], "magmom_total_mub_per_fu": 0.00, "delta_e_f_ev_per_atom": -0.010, "energy_ev_per_atom": -3.614}


No. 5
{"formula": "MgTlIr", "functional": "PBE-GGA", "state": "optimized geometry", "lattice": [[4.643, 0.000, 0.000], [-2.321, 4.021, 0.000], [0.000, 0.000, 3.100]], "species": ["Mg", "Ir", "Tl"], "fractional_positions": [[0.667, 0.333, 0.333], [0.000, 0.000, 0.874], [0.333, 0.667, 0.793]], "magmom_total_mub_per_fu": 0.00, "delta_e_f_ev_per_atom": 0.120, "energy_ev_per_atom": -4.154}


No. 6
{"formula": "MgTl2Ir", "functional": "PBE-GGA", "state": "optimized geometry", "lattice": [[5.184, -0.002, 0.000], [1.441, 4.980, 0.000], [-3.313, -2.489, 3.116]], "species": ["Mg", "Tl", "Tl", "Ir"], "fractional_positions": [[0.750, 0.250, 0.500], [0.000, 0.000, 0.000], [0.500, 0.500, 0.000], [0.250, 0.750, 0.500]], "magmom_total_mub_per_fu": 0.00, "delta_e_f_ev_per_atom": 0.231, "energy_ev_per_atom": -3.566}


No. 7
{"formula": "MgTl2Ir", "functional": "PBE-GGA", "state": "optimized geometry", "lattice": [[-1.134, 2.841, 4.081], [0.961, 0.404, 4.993], [3.990, 3.419, -0.030]], "species": ["Tl", "Ir", "Mg", "Tl"], "fractional_positions": [[0.010, 0.010, 0.987], [0.750, 0.750, 0.750], [0.250, 0.250, 0.250], [0.490, 0.490, 0.513]], "magmom_total_mub_per_fu": 0.00, "delta_e_f_ev_per_atom": 0.245, "energy_ev_per_atom": -3.552}


No. 8
{"formula": "Mg2TlIr", "functional": "PBE-GGA", "state": "optimized geometry", "lattice": [[-2.018, -4.223, 0.443], [-4.306, -0.365, 1.851], [-3.643, -1.162, -2.734]], "species": ["Mg", "Mg", "Ir", "Tl"], "fractional_positions": [[0.250, 0.250, 0.250], [0.750, 0.750, 0.750], [0.000, 0.000, 0.000], [0.500, 0.500, 0.500]], "magmom_total_mub_per_fu": 0.00, "delta_e_f_ev_per_atom": -0.055, "energy_ev_per_atom": -3.659}


No. 9
{"formula": "Mg2TlIr2", "functional": "PBE-GGA", "state": "optimized geometry", "lattice": [[-0.217, 2.067, 3.445], [-3.983, -0.566, 0.089], [-1.305, -4.351, 4.878]], "species": ["Mg", "Ir", "Ir", "Tl", "Mg"], "fractional_positions": [[0.250, 0.750, 0.500], [0.604, 0.604, 0.791], [0.396, 0.396, 0.209], [0.000, 0.000, 0.000], [0.750, 0.250, 0.500]], "magmom_total_mub_per_fu": 0.00, "de_polymorph_ev_per_atom": 0.2952, "delta_e_f_ev_per_atom": 0.233, "energy_ev_per_atom": -4.422}


No. 10
{"formula": "Mg2TlIr2", "functional": "PBE-GGA", "state": "optimized geometry", "lattice": [[7.673, 0.000, 0.000], [0.000, 7.673, 0.000], [0.000, 0.000, 2.973]], "species": ["Ir", "Mg", "Ir", "Mg", "Ir", "Mg", "Tl", "Mg", "Ir", "Tl"], "fractional_positions": [[0.170, 0.670, 0.500], [0.627, 0.127, 0.000], [0.330, 0.170, 0.500], [0.127, 0.373, 0.000], [0.670, 0.830, 0.500], [0.373, 0.873, 0.000], [0.500, 0.500, 0.000], [0.873, 0.627, 0.000], [0.830, 0.330, 0.500], [0.000, 0.000, 0.000]], "magmom_total_mub_per_fu": 0.00, "de_polymorph_ev_per_atom": 0.1203, "delta_e_f_ev_per_atom": 0.058, "energy_ev_per_atom": -4.597}


No. 11
{"formula": "MgTl2Ir", "functional": "PBE-GGA", "state": "optimized geometry", "lattice": [[-5.619, 2.324, -7.037], [-4.101, -0.317, -8.341], [-6.735, -0.724, -6.372]], "species": ["Tl", "Tl", "Mg", "Ir"], "fractional_positions": [[0.994, 0.994, 0.994], [0.506, 0.506, 0.506], [0.750, 0.750, 0.750], [0.250, 0.250, 0.250]], "magmom_total_mub_per_fu": 0.00, "delta_e_f_ev_per_atom": 0.349, "energy_ev_per_atom": -3.449}


No. 12
{"formula": "MgTl2Ir", "functional": "PBE-GGA", "state": "optimized geometry", "lattice": [[-1.740, 2.616, -0.631], [-2.297, -1.052, 1.972], [3.815, 4.145, 6.656]], "species": ["Ir", "Tl", "Mg", "Tl"], "fractional_positions": [[0.000, 0.000, 0.522], [0.000, 0.000, 0.985], [0.500, 0.500, 0.688], [0.500, 0.500, 0.305]], "magmom_total_mub_per_fu": 0.00, "delta_e_f_ev_per_atom": 0.072, "energy_ev_per_atom": -3.725}


No. 13
{"formula": "YMgTlIr", "functional": "PBE-GGA", "state": "optimized geometry", "lattice": [[4.920, 0.000, 0.000], [2.460, 4.261, 0.000], [2.460, 1.420, 4.018]], "species": ["Tl", "Mg", "Y", "Ir"], "fractional_positions": [[0.500, 0.500, 0.500], [0.250, 0.250, 0.250], [0.750, 0.750, 0.750], [0.000, 0.000, 0.000]], "magmom_total_mub_per_fu": 0.00, "delta_e_f_ev_per_atom": -0.295, "energy_ev_per_atom": -5.117}


No. 14
{"formula": "Y2MgTlIr", "functional": "PBE-GGA", "state": "optimized geometry", "lattice": [[-3.652, -3.398, -1.908], [1.096, -3.405, 3.965], [-3.559, 2.208, 2.880]], "species": ["Y", "Ir", "Y", "Mg", "Tl"], "fractional_positions": [[0.000, 0.500, 0.000], [0.000, 0.000, 0.000], [0.500, 0.000, 0.000], [0.000, 0.000, 0.500], [0.500, 0.500, 0.500]], "magmom_total_mub_per_fu": 0.00, "delta_e_f_ev_per_atom": -0.300, "energy_ev_per_atom": -5.450}


No. 15
{"formula": "MgZrTlIr", "functional": "PBE-GGA", "state": "optimized geometry", "lattice": [[-0.453, 4.092, -2.432], [-3.889, 2.717, 0.596], [0.336, 4.188, 2.283]], "species": ["Mg", "Zr", "Tl", "Ir"], "fractional_positions": [[0.000, 0.000, 0.000], [0.500, 0.500, 0.500], [0.250, 0.250, 0.250], [0.750, 0.750, 0.750]], "magmom_total_mub_per_fu": 0.00, "delta_e_f_ev_per_atom": -0.251, "energy_ev_per_atom": -5.594}


No. 16
{"formula": "Tm3MgIr", "functional": "PBE-GGA", "state": "optimized geometry", "lattice": [[3.884, -0.001, -0.001], [0.001, 8.910, -0.040], [0.003, 3.060, 8.369]], "species": ["Ir", "Tm", "Tm", "Tm", "Mg", "Ir", "Tm", "Tm", "Mg", "Tm"], "fractional_positions": [[0.363, 0.194, 0.746], [0.363, 0.387, 0.439], [0.863, 0.364, 0.826], [0.363, 0.002, 0.053], [0.863, 0.193, 0.247], [0.363, 0.694, 0.246], [0.863, 0.024, 0.667], [0.863, 0.774, 0.416], [0.364, 0.694, 0.747], [0.863, 0.614, 0.077]], "magmom_total_mub_per_fu": 0.00, "delta_e_f_ev_per_atom": -0.342, "energy_ev_per_atom": -5.116}


No. 17
{"formula": "TmMgIr", "functional": "PBE-GGA", "state": "optimized geometry", "lattice": [[-2.902, -0.145, 1.582], [-2.177, -0.132, -4.005], [1.295, -3.878, 2.020]], "species": ["Tm", "Mg", "Ir"], "fractional_positions": [[0.666, 0.333, 0.667], [0.165, 0.667, 0.333], [0.170, 0.000, 0.000]], "magmom_total_mub_per_fu": 0.00, "delta_e_f_ev_per_atom": -0.442, "energy_ev_per_atom": -5.417}


No. 18
{"formula": "Tm7Mg2Ir2", "functional": "PBE-GGA", "state": "optimized geometry", "lattice": [[-0.301, 6.748, -0.023], [-4.069, -0.201, -5.796], [-5.251, -1.989, 3.755]], "species": ["Mg", "Ir", "Tm", "Tm", "Tm", "Mg", "Tm", "Tm", "Ir", "Tm", "Tm"], "fractional_positions": [[0.827, 0.500, 0.827], [0.716, 0.000, 0.284], [0.500, 0.239, 0.500], [0.000, 0.755, 0.500], [0.500, 0.761, 0.500], [0.173, 0.500, 0.173], [0.500, 0.245, 0.000], [0.500, 0.755, 0.000], [0.284, 0.000, 0.716], [0.000, 0.000, 0.000], [0.000, 0.245, 0.500]], "magmom_total_mub_per_fu": 0.00, "delta_e_f_ev_per_atom": -0.302, "energy_ev_per_atom": -5.048}


No. 19
{"formula": "Tm2MgIr", "functional": "PBE-GGA", "state": "optimized geometry", "lattice": [[3.984, 0.000, 0.000], [-1.992, 7.092, 0.000], [0.000, 0.000, 7.194]], "species": ["Tm", "Ir", "Mg", "Tm", "Mg", "Ir", "Tm", "Tm"], "fractional_positions": [[0.354, 0.707, 0.995], [0.799, 0.599, 0.750], [0.007, 0.014, 0.250], [0.354, 0.707, 0.505], [0.993, 0.986, 0.750], [0.201, 0.401, 0.250], [0.646, 0.293, 0.495], [0.646, 0.293, 0.005]], "magmom_total_mub_per_fu": 0.00, "de_polymorph_ev_per_atom": 0.0038, "delta_e_f_ev_per_atom": -0.541, "energy_ev_per_atom": -5.390}


No. 20
{"formula": "Tm4MgIr5", "functional": "PBE-GGA", "state": "optimized geometry", "lattice": [[-1.142, -2.071, -2.377], [2.231, -2.318, 0.948], [-10.927, -6.173, 10.625]], "species": ["Tm", "Ir", "Mg", "Tm", "Tm", "Ir", "Ir", "Ir", "Ir", "Tm"], "fractional_positions": [[0.000, 0.000, 0.810], [0.500, 0.500, 0.090], [0.000, 0.000, 0.000], [0.000, 0.000, 0.603], [0.000, 0.000, 0.397], [0.500, 0.500, 0.294], [0.500, 0.500, 0.910], [0.500, 0.500, 0.706], [0.500, 0.500, 0.500], [0.000, 0.000, 0.190]], "magmom_total_mub_per_fu": 0.00, "delta_e_f_ev_per_atom": -0.794, "energy_ev_per_atom": -7.172}